Below is a relaxed structure of BaPmHg4, with properties calculated at the PBE level.

Cell and atoms, written as CIF:
```
data_BaPmHg4
_chemical_formula_sum 'Ba1 Pm1 Hg4'
_space_group_name_H-M_alt 'P 4/m m m'
_space_group_IT_number 123
_space_group_name_Hall '-P 4 2'
_cell_length_a 4.561
_cell_length_b 4.561
_cell_length_c 9.828
_cell_angle_alpha 90.00
_cell_angle_beta 90.00
_cell_angle_gamma 90.00
loop_
_atom_site_label
_atom_site_type_symbol
_atom_site_fract_x
_atom_site_fract_y
_atom_site_fract_z
_atom_site_occupancy
Ba1 Ba 0.000 0.000 0.000 1
Pm1 Pm 0.500 0.500 0.500 1
Hg1 Hg 0.000 0.500 0.276 1
```

Values from the calculation:
As for the offset from the most stable computed form: 148 meV/atom. Its formation energy is -148.4 kJ/mol of formula units.